--- P ---
Material: Cd3RuSe
Method: DFT, PBE
State: relaxed

It has space group Pm-3m (No. 221), with a = 5.1804 Å, b = 5.1804 Å, c = 5.1804 Å, α = 90.00°, β = 90.00° and γ = 90.00°. Symmetry generates all atoms from Cd at (0.0000, 0.0000, 0.5000), Ru at (0.0000, 0.0000, 0.0000) and Se at (0.5000, 0.5000, 0.5000).


--- Q ---
Material: Cd3RuSe
Method: DFT, PBE
State: relaxed

It has space group Pm-3m (No. 221), with a = 5.2216 Å, b = 5.2216 Å, c = 5.2216 Å, α = 90.00°, β = 90.00° and γ = 90.00°. Symmetry generates all atoms from Cd at (0.0000, 0.0000, 0.5000), Ru at (0.5000, 0.5000, 0.5000) and Se at (0.0000, 0.0000, 0.0000).


Referenced to the most stable arrangement, the calculated values in kJ/mol of atoms are P 0.0; Q 39.7.


--- P ---
Material: Sm4CdRu
Method: DFT, PBE
State: relaxed

It has space group C2/c (No. 15), with a = 8.8767 Å, b = 12.9222 Å, c = 6.3253 Å, α = 90.00°, β = 106.70° and γ = 90.00°. Symmetry generates all atoms from Sm at (0.1068, 0.1679, 0.0440), Sm at (0.2150, 0.4166, 0.3986), Cd at (0.0000, 0.3766, 0.7500) and Ru at (0.0000, 0.0009, 0.2500).


--- Q ---
Material: Sm4CdRu
Method: DFT, PBE
State: relaxed

It has space group F-43m (No. 216), with a = 13.8659 Å, b = 13.8659 Å, c = 13.8659 Å, α = 90.00°, β = 90.00° and γ = 90.00°. Symmetry generates all atoms from Sm at (0.0000, 0.0000, 0.1885), Sm at (0.0596, 0.2500, 0.7500), Sm at (0.0960, 0.0960, 0.4040), Cd at (0.1703, 0.1703, 0.1703) and Ru at (0.1120, 0.1120, 0.6120).


Referenced to the most stable arrangement, the calculated values in kJ/mol of atoms are P 5.1; Q 0.0.


--- P ---
Material: Sm3CdRu
Method: DFT, PBE
State: relaxed

It has space group Pm-3m (No. 221), with a = 5.4101 Å, b = 5.4101 Å, c = 5.4101 Å, α = 90.00°, β = 90.00° and γ = 90.00°. Symmetry generates all atoms from Sm at (0.0000, 0.0000, 0.5000), Cd at (0.5000, 0.5000, 0.5000) and Ru at (0.0000, 0.0000, 0.0000).


--- Q ---
Material: Sm3CdRu
Method: DFT, PBE
State: relaxed

It has space group Fmmm (No. 69), with a = 6.6451 Å, b = 10.0741 Å, c = 16.0356 Å, α = 90.00°, β = 90.00° and γ = 90.00°. Symmetry generates all atoms from Sm at (0.0000, 0.0000, 0.1995), Sm at (0.0000, 0.1917, 0.3898), Cd at (0.2075, 0.0000, 0.0000) and Ru at (0.2500, 0.2500, 0.2500).


--- R ---
Material: Sm3CdRu
Method: DFT, PBE
State: relaxed

It has space group P2_1/m (No. 11), with a = 7.1165 Å, b = 4.7493 Å, c = 8.0593 Å, α = 90.00°, β = 100.87° and γ = 90.00°. Symmetry generates all atoms from Sm at (0.0652, 0.2500, 0.3748), Sm at (0.1438, 0.7500, 0.0904), Sm at (0.3704, 0.2500, 0.8249), Cd at (0.3722, 0.7500, 0.5024) and Ru at (0.3543, 0.2500, 0.1866).


Referenced to the most stable arrangement, the calculated values in kJ/mol of atoms are P 18.6; Q 0.0; R 10.7.


--- P ---
Material: TbSmCdRu
Method: DFT, PBE
State: relaxed

It has space group F-43m (No. 216), with a = 7.2044 Å, b = 7.2044 Å, c = 7.2044 Å, α = 90.00°, β = 90.00° and γ = 90.00°. Symmetry generates all atoms from Tb at (0.0000, 0.0000, 0.0000), Sm at (0.0000, 0.0000, 0.5000), Cd at (0.2500, 0.2500, 0.2500) and Ru at (0.2500, 0.2500, 0.7500).


--- Q ---
Material: TbSmCdRu
Method: DFT, PBE
State: relaxed

It has space group P4mm (No. 99), with a = 3.5048 Å, b = 3.5048 Å, c = 7.7822 Å, α = 90.00°, β = 90.00° and γ = 90.00°. Symmetry generates all atoms from Tb at (0.0000, 0.0000, 0.0000), Sm at (0.0000, 0.0000, 0.4311), Cd at (0.5000, 0.5000, 0.7222) and Ru at (0.5000, 0.5000, 0.2100).


Referenced to the most stable arrangement, the calculated values in kJ/mol of atoms are P 9.6; Q 0.0.


--- P ---
Material: SrCdRu3
Method: DFT, PBE
State: relaxed

It has space group Pm-3m (No. 221), with a = 4.9600 Å, b = 4.9600 Å, c = 4.9600 Å, α = 90.00°, β = 90.00° and γ = 90.00°. Symmetry generates all atoms from Sr at (0.0000, 0.0000, 0.0000), Cd at (0.5000, 0.5000, 0.5000) and Ru at (0.0000, 0.0000, 0.5000).


--- Q ---
Material: SrCdRu3
Method: DFT, PBE
State: relaxed

It has space group Pm-3m (No. 221), with a = 5.0122 Å, b = 5.0122 Å, c = 5.0122 Å, α = 90.00°, β = 90.00° and γ = 90.00°. Symmetry generates all atoms from Sr at (0.0000, 0.0000, 0.0000), Cd at (0.5000, 0.5000, 0.5000) and Ru at (0.0000, 0.5000, 0.5000).


Referenced to the most stable arrangement, the calculated values in kJ/mol of atoms are P 73.7; Q 0.0.


--- P ---
Material: SrCd2RuW
Method: DFT, PBE
State: relaxed

It has space group P4/mmm (No. 123), with a = 5.2302 Å, b = 5.2302 Å, c = 5.1990 Å, α = 90.00°, β = 90.00° and γ = 90.00°. Symmetry generates all atoms from Sr at (0.0000, 0.0000, 0.0000), Cd at (0.0000, 0.5000, 0.5000), Ru at (0.0000, 0.0000, 0.5000) and W at (0.5000, 0.5000, 0.0000).


--- Q ---
Material: SrCd2RuW
Method: DFT, PBE
State: relaxed

It has space group P4/mmm (No. 123), with a = 5.5313 Å, b = 5.5313 Å, c = 5.1941 Å, α = 90.00°, β = 90.00° and γ = 90.00°. Symmetry generates all atoms from Sr at (0.0000, 0.0000, 0.0000), Cd at (0.0000, 0.5000, 0.0000), Ru at (0.5000, 0.5000, 0.5000) and W at (0.0000, 0.0000, 0.5000).


Referenced to the most stable arrangement, the calculated values in kJ/mol of atoms are P 0.0; Q 118.4.


--- P ---
Material: Ta2CdRu2
Method: DFT, PBE
State: relaxed

It has space group P4/mbm (No. 127), with a = 7.7439 Å, b = 7.7439 Å, c = 2.9550 Å, α = 90.00°, β = 90.00° and γ = 90.00°. Symmetry generates all atoms from Ta at (0.1439, 0.3561, 0.0000), Cd at (0.0000, 0.0000, 0.0000) and Ru at (0.1474, 0.6474, 0.5000).


--- Q ---
Material: Ta2CdRu2
Method: DFT, PBE
State: relaxed

It has space group P4/mbm (No. 127), with a = 7.5954 Å, b = 7.5954 Å, c = 3.0264 Å, α = 90.00°, β = 90.00° and γ = 90.00°. Symmetry generates all atoms from Ta at (0.1544, 0.3456, 0.0000), Cd at (0.0000, 0.0000, 0.5000) and Ru at (0.1396, 0.6396, 0.5000).


Referenced to the most stable arrangement, the calculated values in kJ/mol of atoms are P 12.9; Q 0.0.


--- P ---
Material: TaCdRu
Method: DFT, PBE
State: relaxed

It has space group F-43m (No. 216), with a = 6.2256 Å, b = 6.2256 Å, c = 6.2256 Å, α = 90.00°, β = 90.00° and γ = 90.00°. Symmetry generates all atoms from Ta at (0.0000, 0.0000, 0.0000), Cd at (0.0000, 0.0000, 0.5000) and Ru at (0.2500, 0.2500, 0.2500).


--- Q ---
Material: TaCdRu
Method: DFT, PBE
State: relaxed

It has space group P3m1 (No. 156), with a = 4.5203 Å, b = 4.5203 Å, c = 2.9275 Å, α = 90.00°, β = 90.00° and γ = 120.00°. Symmetry generates all atoms from Ta at (0.0000, 0.0000, 0.0000), Cd at (0.3333, 0.6667, 0.4131) and Ru at (0.6667, 0.3333, 0.7843).


Referenced to the most stable arrangement, the calculated values in kJ/mol of atoms are P 26.7; Q 0.0.


--- P ---
Material: TaCdRu
Method: DFT, PBE
State: relaxed

It has space group I4mm (No. 107), with a = 3.0896 Å, b = 3.0896 Å, c = 11.1557 Å, α = 90.00°, β = 90.00° and γ = 90.00°. Symmetry generates all atoms from Ta at (0.0000, 0.0000, 0.0000), Cd at (0.0000, 0.0000, 0.6952) and Ru at (0.0000, 0.0000, 0.3686).


--- Q ---
Material: TaCdRu
Method: DFT, PBE
State: relaxed

It has space group F-43m (No. 216), with a = 6.2624 Å, b = 6.2624 Å, c = 6.2624 Å, α = 90.00°, β = 90.00° and γ = 90.00°. Symmetry generates all atoms from Ta at (0.0000, 0.0000, 0.0000), Cd at (0.2500, 0.2500, 0.7500) and Ru at (0.2500, 0.2500, 0.2500).


--- R ---
Material: TaCdRu
Method: DFT, PBE
State: relaxed

It has space group Fmm2 (No. 42), with a = 3.1868 Å, b = 4.8256 Å, c = 14.0143 Å, α = 90.00°, β = 90.00° and γ = 90.00°. Symmetry generates all atoms from Ta at (0.0000, 0.0000, 0.0000), Cd at (0.0000, 0.0000, 0.3140) and Ru at (0.0000, 0.0000, 0.6408).


Referenced to the most stable arrangement, the calculated values in kJ/mol of atoms are P 0.0; Q 68.1; R 13.3.


--- P ---
Material: TaCdRu3
Method: DFT, PBE
State: relaxed

It has space group Pm-3m (No. 221), with a = 4.7425 Å, b = 4.7425 Å, c = 4.7425 Å, α = 90.00°, β = 90.00° and γ = 90.00°. Symmetry generates all atoms from Ta at (0.0000, 0.0000, 0.0000), Cd at (0.5000, 0.5000, 0.5000) and Ru at (0.0000, 0.0000, 0.5000).


--- Q ---
Material: TaCdRu3
Method: DFT, PBE
State: relaxed

It has space group Pm-3m (No. 221), with a = 4.6795 Å, b = 4.6795 Å, c = 4.6795 Å, α = 90.00°, β = 90.00° and γ = 90.00°. Symmetry generates all atoms from Ta at (0.0000, 0.0000, 0.0000), Cd at (0.5000, 0.5000, 0.5000) and Ru at (0.0000, 0.5000, 0.5000).


Referenced to the most stable arrangement, the calculated values in kJ/mol of atoms are P 0.0; Q 91.3.


--- P ---
Material: Tb12CdRu6
Method: DFT, PBE
State: relaxed

It has space group R-3 (No. 148, hexagonal axes), with a = 13.8661 Å, b = 13.8661 Å, c = 8.9562 Å, α = 90.00°, β = 90.00° and γ = 120.00°. Symmetry generates all atoms from Tb at (0.0402, 0.7816, 0.4248), Tb at (0.0594, 0.8760, 0.8299), Cd at (0.0000, 0.0000, 0.5000) and Ru at (0.0807, 0.5826, 0.7892).


--- Q ---
Material: Tb12CdRu6
Method: DFT, PBE
State: relaxed

It has space group Im-3 (No. 204), with a = 9.8785 Å, b = 9.8785 Å, c = 9.8785 Å, α = 90.00°, β = 90.00° and γ = 90.00°. Symmetry generates all atoms from Tb at (0.0000, 0.2967, 0.1962), Cd at (0.0000, 0.0000, 0.0000) and Ru at (0.0000, 0.1239, 0.5000).


Referenced to the most stable arrangement, the calculated values in kJ/mol of atoms are P 7.2; Q 0.0.